# AlZnSi, optimized geometry, DFT PBE
data_AlZnSi
_chemical_formula_sum 'Al4 Zn4 Si4'
_space_group_name_H-M_alt 'F -4 3 m'
_space_group_IT_number 216
_space_group_name_Hall 'F -4 2 3'
_cell_length_a 6.001
_cell_length_b 6.001
_cell_length_c 6.001
_cell_angle_alpha 90.00
_cell_angle_beta 90.00
_cell_angle_gamma 90.00
loop_
_atom_site_label
_atom_site_fract_x
_atom_site_fract_y
_atom_site_fract_z
Al1 0.000 0.000 0.000
Zn1 0.000 0.000 0.500
Si1 0.250 0.250 0.250
# - VASP energy (eV per atom) = -3.32